(1)
Below is a geometry-optimized BaTaCu2 structure, with properties calculated at the PBE level.

Unit cell a=5.0025 b=5.0025 c=9.4256 alpha=74.61 beta=74.61 gamma=90.00
Closest atoms and distances in Å follow each position.
Element x y z (fractional)
Cu: 0.8742 0.6250 0.2500  2 Cu 2.50, 2 Ta 2.52
Ta: 0.0000 0.0000 0.0000  4 Cu 2.52
Cu: 0.8750 0.1258 0.7500  2 Cu 2.50, 2 Ta 2.52
Ta: 0.7500 0.2500 0.5000  4 Cu 2.52
Ba: 0.5000 0.5000 0.0000  4 Ta 3.54, 8 Cu 3.55
Ba: 0.2500 0.7500 0.5000  4 Ta 3.54, 8 Cu 3.55
Cu: 0.8758 0.1250 0.2500  2 Cu 2.50, 2 Ta 2.52
Cu: 0.3750 0.1242 0.7500  2 Cu 2.50, 2 Ta 2.52

Calculated values
The calculation puts the energy above the most stable polymorph in this dataset at 0.543 eV/atom. The calculated formation energy comes out at 339 kJ/mol of formula units. As for the spin magnetization: 1.5 μB/f.u. As for the space-group type: I4_1/amd. The calculation puts the electronic total energy at -4.613 eV per atom.


(2)
Below is a geometry-optimized LiDyTl2Br6 structure, with properties calculated at the PBE level.

Unit cell a=7.5928 b=7.8841 c=10.8168 alpha=90.00 beta=89.70 gamma=90.00
Closest atoms and distances in Å follow each position.
Element x y z (fractional)
Tl: 0.5192 0.5700 0.7526  8 Br 3.37-3.75
Br: 0.2981 0.7026 0.0421  1 Dy 2.81, 1 Li 2.84
Li: 0.5000 0.0000 0.0000  6 Br 2.76-2.84
Br: 0.7003 0.2942 0.5415  1 Dy 2.81, 1 Li 2.83
Tl: 0.0192 0.9300 0.2526  8 Br 3.37-3.75
Br: 0.7981 0.7974 0.5421  1 Dy 2.81, 1 Li 2.84
Dy: 0.5000 0.0000 0.5000  6 Br 2.80-2.81
Br: 0.2003 0.2058 0.0415  1 Dy 2.81, 1 Li 2.83
Br: 0.2019 0.2026 0.4579  1 Dy 2.81, 1 Li 2.84
Dy: 0.0000 0.5000 0.0000  6 Br 2.80-2.81
Br: 0.9159 0.5132 0.2526  1 Li 2.76, 1 Dy 2.80
Tl: 0.4808 0.4300 0.2474  8 Br 3.37-3.75
Tl: 0.9808 0.0700 0.7474  8 Br 3.37-3.75
Br: 0.7019 0.2974 0.9579  1 Dy 2.81, 1 Li 2.84
Li: 0.0000 0.5000 0.5000  6 Br 2.76-2.84
Br: 0.0841 0.4868 0.7474  1 Li 2.76, 1 Dy 2.80
Br: 0.7997 0.7942 0.9585  1 Dy 2.81, 1 Li 2.83
Br: 0.4159 0.9868 0.7526  1 Li 2.76, 1 Dy 2.80
Br: 0.2997 0.7058 0.4585  1 Dy 2.81, 1 Li 2.83
Br: 0.5841 0.0132 0.2474  1 Li 2.76, 1 Dy 2.80

Calculated values
As for the spin magnetization: 0.0 μB/f.u. As for the space-group type: P2_1/c. The calculation puts the electronic total energy at -3.535 eV per atom. As for the formation energy without anion corrections: -1.4064 eV per atom.


(3)
Below is a geometry-optimized Pm2ErF structure, with properties calculated at the PBE level.

Unit cell a=3.6991 b=3.6991 c=9.4807 alpha=78.75 beta=78.75 gamma=60.00
Closest atoms and distances in Å follow each position.
Element x y z (fractional)
F: 0.5000 0.5000 0.5000  6 Pm 2.56
Pm: 0.8842 0.8842 0.3474  3 F 2.56
Pm: 0.1158 0.1158 0.6526  3 F 2.56
Er: 0.0000 0.0000 0.0000  2 Pm 3.21

Calculated values
As for the spin magnetization: 0.0 μB/f.u. As for the space-group type: R-3m. The calculation puts the electronic total energy at -4.885 eV per atom. As for the formation energy without anion corrections: -0.9014 eV per atom.


(4)
Below is a geometry-optimized Ba2SrBi2 structure, with properties calculated at the PBE level.

Unit cell a=9.8274 b=9.8274 c=4.3109 alpha=90.00 beta=90.00 gamma=90.00
Closest atoms and distances in Å follow each position.
Element x y z (fractional)
Ba: 0.3756 0.8756 0.0000  1 Ba 3.46, 6 Bi 3.50-3.70
Bi: 0.3226 0.1774 0.5000  6 Ba 3.50-3.70
Ba: 0.6244 0.1244 0.0000  1 Ba 3.46, 6 Bi 3.50-3.70
Ba: 0.8756 0.6244 0.0000  1 Ba 3.46, 6 Bi 3.50-3.70
Sr: 0.5000 0.5000 0.0000  4 Ba 3.89, 8 Bi 4.21, 2 Sr 4.31
Bi: 0.1774 0.6774 0.5000  6 Ba 3.50-3.70
Bi: 0.6774 0.8226 0.5000  6 Ba 3.50-3.70
Bi: 0.8226 0.3226 0.5000  6 Ba 3.50-3.70
Ba: 0.1244 0.3756 0.0000  1 Ba 3.46, 6 Bi 3.50-3.70
Sr: 0.0000 0.0000 0.0000  4 Ba 3.89, 8 Bi 4.21, 2 Sr 4.31

Calculated values
The calculation puts the energy above the most stable polymorph in this dataset at 0.234 eV/atom. The calculated formation energy comes out at -318 kJ/mol of formula units. As for the spin magnetization: 0.0 μB/f.u. As for the space-group type: P4/mbm. The calculation puts the electronic total energy at -3.316 eV per atom.